Entry 1:
Material: CaLaPS
Method: DFT, PBE-GGA
State: optimized geometry

Lattice parameters (Å, degrees): 4.209 4.209 7.188 72.97 72.97 60.00
Positions (direct):
Ca 0.502 0.502 0.495
La 0.996 0.996 0.011
P 0.251 0.251 0.247
S 0.751 0.751 0.747

Computed properties:
* energy relative to the elements, uncorrected: -1.80 eV per atom

Entry 2:
Material: Ca2LaPS
Method: DFT, PBE-GGA
State: optimized geometry

Lattice parameters (Å, degrees): 5.138 5.505 5.138 90.00 90.00 90.00
Positions (direct):
P 0.500 0.500 0.500
Ca 0.000 0.000 0.500
Ca 0.500 0.000 0.000
S 0.000 0.000 0.000
La 0.000 0.500 0.000

Computed properties:
* Fermi-level density of states: 1.08 states/eV per atom
* energy relative to the elements, uncorrected: -0.82 eV per atom

Entry 3:
Material: CaLaP2S8
Method: DFT, PBE-GGA
State: optimized geometry

Lattice parameters (Å, degrees): 5.987 5.987 9.479 90.00 90.00 120.00
Positions (direct):
Ca 0.000 0.000 0.000
La 0.000 0.000 0.500
P 0.667 0.333 0.225
P 0.333 0.667 0.775
S 0.333 0.667 0.990
S 0.344 0.345 0.286
S 0.655 0.999 0.286
S 0.667 0.333 0.010
S 0.345 0.001 0.714
S 0.656 0.655 0.714
S 0.999 0.344 0.714
S 0.001 0.656 0.286

Computed properties:
* Fermi-level density of states: 1.06 states/eV per atom
* energy relative to the elements, uncorrected: -0.75 eV per atom

Entry 4:
Material: Ca3LaSb2P
Method: DFT, PBE-GGA
State: optimized geometry

Lattice parameters (Å, degrees): 5.536 5.269 9.014 106.99 107.88 90.00
Positions (direct):
Ca 0.000 0.500 0.000
Ca 0.176 0.176 0.351
Ca 0.824 0.824 0.649
La 0.500 0.000 0.000
Sb 0.634 0.634 0.268
Sb 0.366 0.366 0.732
P 0.000 0.000 0.000

Computed properties:
* Fermi-level density of states: 0.01 states/eV per atom
* energy relative to the elements, uncorrected: -1.02 eV per atom

Entry 5:
Material: Ca2LaSnP
Method: DFT, PBE-GGA
State: optimized geometry

Lattice parameters (Å, degrees): 5.357 5.357 5.670 90.00 90.00 90.00
Positions (direct):
P 0.000 0.000 0.000
Ca 0.000 0.500 0.000
Ca 0.500 0.000 0.000
Sn 0.500 0.500 0.500
La 0.000 0.000 0.500

Computed properties:
* Fermi-level density of states: 0.11 states/eV per atom
* formation energy: -4.2 eV per formula unit

Entry 6:
Material: SrCaLa2P
Method: DFT, PBE-GGA
State: optimized geometry

Lattice parameters (Å, degrees): 5.824 5.824 5.713 90.00 90.00 90.00
Positions (direct):
Sr 0.500 0.500 0.500
Ca 0.000 0.000 0.500
P 0.000 0.000 0.000
La 0.000 0.500 0.000
La 0.500 0.000 0.000

Computed properties:
* Fermi-level density of states: 1.71 states/eV per atom
* relative energy among the computed polymorphs: 0 meV/atom
* formation energy: -2.2 eV per formula unit

Entry 7:
Material: Sr2CaLaP
Method: DFT, PBE-GGA
State: optimized geometry

Lattice parameters (Å, degrees): 6.055 6.055 5.766 90.00 90.00 90.00
Positions (direct):
Sr 0.000 0.500 0.000
Sr 0.500 0.000 0.000
Ca 0.500 0.500 0.500
P 0.000 0.000 0.000
La 0.000 0.000 0.500

Computed properties:
* Fermi-level density of states: 1.41 states/eV per atom
* formation energy: -2.2 eV per formula unit

Entry 8:
Material: SrCaLa2P
Method: DFT, PBE-GGA
State: optimized geometry

Lattice parameters (Å, degrees): 5.771 5.771 6.004 90.00 90.00 90.00
Positions (direct):
Sr 0.000 0.000 0.500
Ca 0.500 0.500 0.500
P 0.000 0.000 0.000
La 0.000 0.500 0.000
La 0.500 0.000 0.000

Computed properties:
* Fermi-level density of states: 1.81 states/eV per atom
* relative energy among the computed polymorphs: 0 meV/atom
* formation energy: -2.2 eV per formula unit